A geometry-optimized K2PtF7 structure. Source: the Alexandria database, functional PBE-GGA. Values from VASP.

## Properties
Formation energy from raw total energies in eV/atom: -1.852
Final energy in eV/atom: -3.985
V in Å³ per cell: 349

```
&SYSTEM
  ibrav = 0, nat = 20, ntyp = 3
/
ATOMIC_SPECIES
F 19.00 F.upf
K 39.10 K.upf
Pt 195.08 Pt.upf
CELL_PARAMETERS angstrom
-2.843 5.144 3.143
1.882 0.763 7.520
4.443 6.828 -0.091
ATOMIC_POSITIONS angstrom
F 0.161 8.444 5.369
F 2.537 9.326 6.025
F 4.995 5.600 7.280
F 0.945 3.410 4.546
F 5.300 8.665 6.900
F -1.512 7.135 3.292
F 2.135 8.329 3.655
F 1.161 7.057 8.619
F 4.448 6.460 2.596
F 2.321 5.678 1.953
F -1.817 4.071 3.672
F -0.965 6.275 7.976
F 1.347 4.406 6.916
F 3.321 4.291 5.202
K 3.922 6.958 5.150
K -0.440 5.777 5.421
K 0.300 3.993 1.943
K 3.182 8.742 8.628
Pt 1.305 9.833 4.574
Pt 2.178 2.903 5.998
```